1.
Crystalline AlTc2Ir at its relaxed geometry. Source: the Alexandria database, functional GGA-PBE.

The calculation puts the electronic total energy at -33.433 eV per cell. As for the theoretical density: 11.76 g cm⁻³. As for the energy of formation from the pure elements: -0.024 eV per atom. As for the space group: Cmm2.

Unit cell a=2.7359 b=2.7359 c=8.7360 alpha=90.00 beta=90.00 gamma=116.24
Last column: nearest neighbours and their distance in Å.
Positions (direct):
Tc 0.5000 0.5000 0.2537  8 Tc 2.60-2.89, 2 Al 2.61
Ir 0.5000 0.5000 0.7376  2 Al 2.51, 4 Ir 2.74, 2 Tc 2.76
Tc 0.0000 0.0000 0.0065  8 Tc 2.60-2.89, 2 Ir 2.76
Al 0.0000 0.0000 0.5022  2 Ir 2.51, 2 Tc 2.61, 4 Al 2.74



2.
Crystalline Hf2GaRe at its relaxed geometry. Source: the Alexandria database, functional GGA-PBE.

The calculation puts the electronic total energy at -37.244 eV per cell. As for the theoretical density: 14.10 g cm⁻³. As for the energy of formation from the pure elements: -0.466 eV per atom. As for the space group: P4/mmm.

Unit cell a=3.3535 b=3.3535 c=6.4182 alpha=90.00 beta=90.00 gamma=90.00
Last column: nearest neighbours and their distance in Å.
Positions (direct):
Hf 0.0000 0.0000 0.7578  4 Re 2.84, 4 Ga 2.89, 1 Hf 3.11
Hf 0.0000 0.0000 0.2422  4 Re 2.84, 4 Ga 2.89, 1 Hf 3.11
Ga 0.5000 0.5000 0.5000  8 Hf 2.89, 2 Re 3.21
Re 0.5000 0.5000 0.0000  8 Hf 2.84



3.
Crystalline Ce8GeIr6 at its relaxed geometry. Source: the Alexandria database, functional GGA-PBE.

The calculation puts the electronic total energy at -112.803 eV per cell. As for the theoretical density: 10.12 g cm⁻³. As for the energy of formation from the pure elements: -0.503 eV per atom. As for the space group: R-3.

Unit cell a=7.2756 b=7.2756 c=7.2756 alpha=88.94 beta=88.94 gamma=88.94
Last column: nearest neighbours and their distance in Å.
Positions (direct):
Ce 0.7637 0.7637 0.7637  3 Ir 2.79, 1 Ge 3.03
Ce 0.3642 0.0996 0.7445  4 Ir 2.76-2.96
Ir 0.2386 0.4176 0.5710  5 Ce 2.76-2.96, 4 Ir 2.88-2.94
Ce 0.7445 0.3642 0.0996  4 Ir 2.76-2.96
Ce 0.6358 0.9004 0.2555  4 Ir 2.76-2.96
Ir 0.4176 0.5710 0.2386  5 Ce 2.76-2.96, 4 Ir 2.88-2.94
Ce 0.2555 0.6358 0.9004  4 Ir 2.76-2.96
Ir 0.5824 0.4290 0.7614  5 Ce 2.76-2.96, 4 Ir 2.88-2.94
Ir 0.7614 0.5824 0.4290  5 Ce 2.76-2.96, 4 Ir 2.88-2.94
Ce 0.0996 0.7445 0.3642  4 Ir 2.76-2.96
Ge 0.0000 0.0000 0.0000  8 Ce 3.03-3.29
Ir 0.4290 0.7614 0.5824  5 Ce 2.76-2.96, 4 Ir 2.88-2.94
Ir 0.5710 0.2386 0.4176  5 Ce 2.76-2.96, 4 Ir 2.88-2.94
Ce 0.9004 0.2555 0.6358  4 Ir 2.76-2.96
Ce 0.2363 0.2363 0.2363  3 Ir 2.79, 1 Ge 3.03